! PBE ZnAs2Os, optimized geometry; values from VASP
! Theoretical density = 7.50 g/cm3
! ΔE_f = 246 meV/atom
! Crystal system = tetragonal
! Spin magnetization = 0.00 μB/atom
! Space-group type = No. 122
&SYSTEM
  ibrav = 0, nat = 16, ntyp = 3
/
ATOMIC_SPECIES
Zn 65.41 Zn.upf
As 74.92 As.upf
Os 190.23 Os.upf
CELL_PARAMETERS angstrom
5.6079 0.0000 0.0000
0.0000 5.6079 0.0000
0.0000 0.0000 11.4130
ATOMIC_POSITIONS crystal
Zn 0.0000 0.0000 0.0000
Zn 0.0000 0.5000 0.2500
Zn 0.5000 0.0000 0.7500
Zn 0.5000 0.5000 0.5000
As 0.2271 0.2500 0.6250
As 0.2500 0.7271 0.8750
As 0.2500 0.7729 0.3750
As 0.2729 0.2500 0.1250
As 0.7271 0.7500 0.1250
As 0.7500 0.2271 0.3750
As 0.7500 0.2729 0.8750
As 0.7729 0.7500 0.6250
Os 0.0000 0.0000 0.5000
Os 0.0000 0.5000 0.7500
Os 0.5000 0.0000 0.2500
Os 0.5000 0.5000 0.0000

! PBE ZnAsOs, optimized geometry; values from VASP
! Theoretical density = 11.21 g/cm3
! ΔE_f = 155 meV/atom
! Crystal system = trigonal
! Spin magnetization = 0.00 μB/atom
! Space-group type = No. 156
&SYSTEM
  ibrav = 0, nat = 3, ntyp = 3
/
ATOMIC_SPECIES
Zn 65.41 Zn.upf
As 74.92 As.upf
Os 190.23 Os.upf
CELL_PARAMETERS angstrom
3.0063 0.0000 0.0000
-1.5031 2.6035 0.0000
0.0000 0.0000 6.2569
ATOMIC_POSITIONS crystal
Zn 0.0000 0.0000 0.0000
As 0.6667 0.3333 0.3936
Os 0.3333 0.6667 0.6745

! PBE ZnAs2Os, optimized geometry; values from VASP
! Theoretical density = 10.05 g/cm3
! ΔE_f = 254 meV/atom
! Crystal system = monoclinic
! Spin magnetization = 0.00 μB/atom
! Space-group type = No. 6
&SYSTEM
  ibrav = 0, nat = 4, ntyp = 3
/
ATOMIC_SPECIES
Zn 65.41 Zn.upf
As 74.92 As.upf
Os 190.23 Os.upf
CELL_PARAMETERS angstrom
3.2529 0.0000 0.0000
0.0000 4.7106 0.0000
-1.6245 0.0000 4.3729
ATOMIC_POSITIONS crystal
Zn 0.0000 0.0000 0.0000
As 0.4288 0.5000 0.8792
As 0.7225 0.0000 0.4433
Os 0.1433 0.5000 0.3084

! PBE ZnAsOs2, optimized geometry; values from VASP
! Theoretical density = 14.69 g/cm3
! ΔE_f = 566 meV/atom
! Crystal system = tetragonal
! Spin magnetization = 0.00 μB/atom
! Space-group type = No. 119
&SYSTEM
  ibrav = 0, nat = 8, ntyp = 3
/
ATOMIC_SPECIES
Zn 65.41 Zn.upf
As 74.92 As.upf
Os 190.23 Os.upf
CELL_PARAMETERS angstrom
3.9002 0.0000 0.0000
0.0000 3.9002 0.0000
0.0000 0.0000 7.7393
ATOMIC_POSITIONS crystal
Zn 0.0000 0.0000 0.0000
Zn 0.5000 0.5000 0.5000
As 0.0000 0.5000 0.7500
As 0.5000 0.0000 0.2500
Os 0.0000 0.0000 0.5000
Os 0.0000 0.5000 0.2500
Os 0.5000 0.0000 0.7500
Os 0.5000 0.5000 0.0000